A plane-wave DFT calculation with PBE was carried out for TlBi2PPt after structural relaxation.

a b c (Å): 5.6734 4.4213 5.6734
angles (deg): 90.00 90.00 90.00
Last column: nearest neighbours and their distance in Å.
Fractional coordinates of all 5 atoms:
P1 0.0000 0.0000 0.0000  2 Pt 2.21
Tl1 0.5000 0.5000 0.5000  8 Bi 3.60, 4 Pt 4.01
Pt1 0.0000 0.5000 0.0000  2 P 2.21
Bi1 0.5000 0.0000 0.0000  2 P 2.84
Bi2 0.0000 0.0000 0.5000  2 P 2.84

Summary:
Formation enthalpy at 0 K = 1.0 eV per formula unit
Calculated volume = 142 Å³/cell
Density = 9.9 g/cm³
Density of states at the Fermi level = 0.619 states/eV per atom
Uncorrected energy = -4.117 eV per atom